# 1
Entry from Alexandria: an optimized crystal structure of AlNi2Ag (PBE).

Calculated values
The value obtained for the total energy is -4.70 eV/atom. The space group is Pmm2 (25). The density comes out at 7.9 Mg/m³.

```
4
Lattice="2.802 0.000 0.000 0.000 4.248 0.000 0.000 0.000 4.462" Properties=species:S:1:pos:R:3 pbc="T T T"
Al 0.000 0.000 0.000
Ni 1.401 0.000 2.383
Ni 1.401 2.124 3.941
Ag 0.000 2.124 1.724
```



# 2
Entry from Alexandria: an optimized crystal structure of LiHgCl2 (PBE).

Calculated values
The value obtained for the total energy is -2.34 eV/atom. As for the raw formation energy: -863.6 meV per atom. The space group is C2/m (12). The density comes out at 4.1 Mg/m³. The energy relative to the lowest polymorph listed for this composition is 90.4 meV per atom.

```
4
Lattice="3.969 -3.796 0.000 3.969 3.796 0.000 -2.116 0.000 3.707" Properties=species:S:1:pos:R:3 pbc="T T T"
Li 0.000 0.000 0.000
Hg 3.969 0.000 0.000
Cl 1.984 1.898 0.000
Cl 1.984 -1.898 0.000
```



# 3
Entry from Alexandria: an optimized crystal structure of LiNd4Dy3S8 (PBE).

Calculated values
The value obtained for the total energy is -6.21 eV/atom. As for the raw formation energy: -1968.3 meV per atom. The space group is R-3m (166). The density comes out at 6.2 Mg/m³.

```
16
Lattice="3.959 2.286 6.554 -3.959 2.286 6.554 0.000 -4.572 6.554" Properties=species:S:1:pos:R:3 pbc="T T T"
Li 0.000 0.000 0.000
Nd -3.959 0.000 9.831
Nd -1.980 1.143 3.277
Nd 1.980 1.143 3.277
Nd 0.000 0.000 9.831
Dy -1.980 -1.143 6.554
Dy -1.980 1.143 13.108
Dy 0.000 2.286 6.554
S 0.000 -2.318 8.071
S -2.008 1.159 8.071
S -2.008 -1.159 11.592
S 0.000 0.000 5.015
S 0.000 0.000 14.648
S 2.008 1.159 8.071
S 2.008 -1.159 11.592
S 0.000 2.318 11.592
```



# 4
Entry from Alexandria: an optimized crystal structure of PuCuAs (PBE).

Calculated values
The value obtained for the total energy is -8.28 eV/atom. The space group is P-6m2 (187). The density comes out at 10.6 Mg/m³.

```
3
Lattice="4.134 0.000 0.000 -2.067 3.580 0.000 0.000 0.000 4.043" Properties=species:S:1:pos:R:3 pbc="T T T"
Pu 0.000 0.000 0.000
Cu 0.000 2.387 2.022
As 2.067 1.193 2.022
```



# 5
Entry from Alexandria: an optimized crystal structure of Rb3Cd4Pt (PBE).

Calculated values
The value obtained for the total energy is -1.69 eV/atom. The space group is Imm2 (44). The density comes out at 5.4 Mg/m³.

```
8
Lattice="-3.226 3.729 5.727 3.226 -3.729 5.727 3.226 3.729 -5.727" Properties=species:S:1:pos:R:3 pbc="T T T"
Rb 0.000 0.000 0.000
Rb 3.226 1.952 -1.688
Rb 0.000 1.776 4.039
Cd 3.226 1.495 2.215
Cd 1.526 3.729 1.105
Cd 1.700 0.000 6.831
Cd 0.000 2.234 7.942
Pt 3.226 0.000 4.520
```



# 6
Entry from Alexandria: an optimized crystal structure of CsTa6Se12 (PBE).

Calculated values
The value obtained for the total energy is -6.40 eV/atom. As for the raw formation energy: -408.3 meV per atom. The space group is R-3m (166). The density comes out at 8.7 Mg/m³.

```
19
Lattice="6.273 3.622 3.045 -6.273 3.622 3.045 0.000 -7.243 3.045" Properties=species:S:1:pos:R:3 pbc="T T T"
Cs 0.000 0.000 0.000
Ta 0.000 -2.851 3.889
Ta -2.469 1.426 3.889
Ta -2.469 -1.426 5.246
Ta 2.469 1.426 3.889
Ta 2.469 -1.426 5.246
Ta 0.000 2.851 5.246
Se -2.375 -4.113 4.567
Se -4.750 0.000 4.567
Se -1.691 -0.977 2.906
Se 1.691 -0.977 2.906
Se 0.000 1.953 2.906
Se 2.375 -4.113 4.567
Se -2.375 4.113 4.567
Se 0.000 -1.953 6.229
Se -1.691 0.977 6.229
Se 1.691 0.977 6.229
Se 4.750 0.000 4.567
Se 2.375 4.113 4.567
```



# 7
Entry from Alexandria: an optimized crystal structure of NaCrTe3Au (PBE).

Calculated values
The value obtained for the total energy is -4.26 eV/atom. As for the raw formation energy: -314.5 meV per atom. The space group is P2_1/m (11). The density comes out at 6.8 Mg/m³.

```
12
Lattice="8.192 0.000 0.000 0.000 3.981 0.000 -2.951 0.000 9.743" Properties=species:S:1:pos:R:3 pbc="T T T"
Na 0.952 0.995 2.865
Na 4.288 2.986 6.877
Cr 0.138 2.986 8.264
Cr 5.103 0.995 1.479
Te -1.710 0.995 8.617
Te 0.695 2.986 5.584
Te 3.200 2.986 1.297
Te 2.040 0.995 8.446
Te 4.545 0.995 4.158
Te 6.950 2.986 1.125
Au -1.484 0.995 5.940
Au 6.724 2.986 3.803
```



# 8
Entry from Alexandria: an optimized crystal structure of LiDy2CuPt2 (PBE).

Calculated values
The value obtained for the total energy is -5.42 eV/atom. The space group is Ibam (72). The density comes out at 11.2 Mg/m³.

```
12
Lattice="-2.837 7.151 2.862 2.837 -7.151 2.862 2.837 7.151 -2.862" Properties=species:S:1:pos:R:3 pbc="T T T"
Li 0.000 0.000 1.431
Li 0.000 0.000 4.292
Dy 4.240 2.426 0.000
Dy 1.403 4.724 0.000
Dy 1.434 2.426 2.862
Dy -1.403 4.724 2.862
Cu 2.837 0.000 1.431
Cu 0.000 7.151 1.431
Pt 1.409 1.792 0.000
Pt 1.409 -1.792 2.862
Pt 1.428 8.943 0.000
Pt 1.428 5.359 2.862
```